Entry 1:
Crystalline ZrCd2Hg at its relaxed geometry. Source: Alexandria via LeMat-Bulk, functional PBEsol.

Summary:
Space-group type: P4mm, No. 99
Formation energy (eV/atom): -0.152
M_tot (μB/atom): 0.00

abc: 3.1482 3.1482 8.2255
angles: 90.00 90.00 90.00
Element x y z (fractional)
Hg (0.0000, 0.0000, 0.4995)
Zr (0.5000, 0.5000, 0.7475)
Cd (0.0000, 0.0000, 0.0038)
Cd (0.5000, 0.5000, 0.2492)

=====

Entry 2:
Crystalline AsPAu2 at its relaxed geometry. Source: Alexandria via LeMat-Bulk, functional PBEsol.

Summary:
Space-group type: Pmmm, No. 47
Relative energy among the computed polymorphs (meV/atom): 0
Formation energy (eV/atom): 0.336
M_tot (μB/atom): 0.00

abc: 3.8099 3.9357 4.5714
angles: 90.00 90.00 90.00
Element x y z (fractional)
As (0.0000, 0.5000, 0.5000)
Au (0.0000, 0.0000, 0.0000)
Au (0.5000, 0.5000, 0.0000)
P (0.5000, 0.0000, 0.5000)

=====

Entry 3:
Crystalline Al2SiNi at its relaxed geometry. Source: Alexandria via LeMat-Bulk, functional PBEsol.

Summary:
Raw formation energy (eV per formula unit): -0.53
Space-group type: Pmma, No. 51
Relative energy among the computed polymorphs (meV/atom): 216
M_tot (μB/atom): 0.00

abc: 3.7669 5.0652 6.0046
angles: 90.00 90.00 90.00
Element x y z (fractional)
Al (0.5000, 0.0000, 0.0000)
Al (0.5000, 0.5000, 0.0000)
Al (0.5000, 0.7500, 0.4166)
Al (0.5000, 0.2500, 0.5834)
Ni (0.0000, 0.7500, 0.1236)
Ni (0.0000, 0.2500, 0.8764)
Si (0.0000, 0.7500, 0.7283)
Si (0.0000, 0.2500, 0.2717)

=====

Entry 4:
Crystalline YSc2Hg at its relaxed geometry. Source: Alexandria via LeMat-Bulk, functional PBEsol.

Summary:
Space-group type: Imm2, No. 44
Formation energy (eV/atom): -0.256
M_tot (μB/atom): 0.00

abc: 3.6441 4.9156 6.1135
angles: 113.71 107.34 90.00
Element x y z (fractional)
Y (0.5218, 0.5218, 0.0437)
Sc (0.9716, 0.9716, 0.9432)
Sc (0.7472, 0.2472, 0.4944)
Hg (0.2594, 0.7594, 0.5188)

=====

What is the formula in the second record? AsPAu2